# 1
Material: In4Br3O
Method: DFT, PBE-GGA
State: optimized geometry

Cell lengths 12.3608, 6.2245, 6.1164 Å; angles 90.00, 90.00, 90.00 degrees
Last column: nearest neighbours and their distance in Å.
Space group Pmn2_1 (No. 31)
Asymmetric unit:
In: 0.0000 0.0956 0.0000 [2 per cell]  1 O 2.22
In: 0.0000 0.6841 0.4544 [2 per cell]  1 O 2.21
In: 0.1395 0.2238 0.5368 [4 per cell]  1 O 2.39
Br: 0.0000 0.6185 0.9846 [2 per cell]  2 In 2.90-2.97
Br: 0.2475 0.7931 0.5881 [4 per cell]  4 In 3.01-3.24
O: 0.0000 0.0257 0.3554 [2 per cell]  4 In 2.21-2.39

Calculated values
formation energy without anion corrections: -675 meV per atom
DFT total energy: -3.291 eV per atom

---

# 2
Material: In3BrO
Method: DFT, PBE-GGA
State: optimized geometry

Cell lengths 5.1322, 5.1322, 5.1322 Å; angles 90.00, 90.00, 90.00 degrees
Last column: nearest neighbours and their distance in Å.
Space group Pm-3m (No. 221)
Asymmetric unit:
In: 0.0000 0.0000 0.5000 [3 per cell]  2 O 2.57
Br: 0.5000 0.5000 0.5000 [1 per cell]  12 In 3.63
O: 0.0000 0.0000 0.0000 [1 per cell]  6 In 2.57

Calculated values
energy above the most stable polymorph in this dataset: 0.0000 eV per atom
formation energy without anion corrections: -355 meV per atom
DFT total energy: -3.324 eV per atom

---

# 3
Material: InBrO
Method: DFT, PBE-GGA
State: optimized geometry

Cell lengths 7.1567, 7.0359, 6.3413 Å; angles 90.00, 111.03, 90.00 degrees
Last column: nearest neighbours and their distance in Å.
Space group P2_1/c (No. 14)
Asymmetric unit:
In: 0.0037 0.1301 0.2895 [4 per cell]  3 O 2.09-2.15
Br: 0.2820 0.5928 0.6760 [4 per cell]  3 In 2.82-2.94
O: 0.1050 0.1391 0.6523 [4 per cell]  3 In 2.09-2.15

Calculated values
formation energy without anion corrections: -1137 meV per atom
DFT total energy: -4.260 eV per atom

---

# 4
Material: In3BrO
Method: DFT, PBE-GGA
State: optimized geometry

Cell lengths 6.0000, 6.0000, 6.0000 Å; angles 90.00, 90.00, 90.00 degrees
Last column: nearest neighbours and their distance in Å.
Space group Pm-3m (No. 221)
Asymmetric unit:
In: 0.0000 0.0000 0.5000 [3 per cell]  2 Br 3.00
Br: 0.0000 0.0000 0.0000 [1 per cell]  6 In 3.00
O: 0.5000 0.5000 0.5000 [1 per cell]  12 In 4.24

Calculated values
energy above the most stable polymorph in this dataset: 0.9357 eV per atom
formation energy without anion corrections: 581 meV per atom
DFT total energy: -2.388 eV per atom

---

# 5
Material: InBrO
Method: DFT, PBE-GGA
State: optimized geometry

Cell lengths 3.5427, 3.5812, 10.5398 Å; angles 87.32, 87.33, 69.93 degrees
Last column: nearest neighbours and their distance in Å.
Space group P1 (No. 1)
Asymmetric unit:
In: 0.0000 0.0000 0.0000 [1 per cell]  4 O 2.19-2.36
In: 0.4732 0.4733 0.2628 [1 per cell]  4 O 2.19-2.36
Br: 0.1380 0.1893 0.4514 [1 per cell]  1 In 2.61
Br: 0.7038 0.7546 0.8113 [1 per cell]  1 In 2.61
O: 0.3550 0.3623 0.0517 [1 per cell]  4 In 2.19-2.36
O: 0.8388 0.8463 0.2111 [1 per cell]  4 In 2.19-2.36

Calculated values
formation energy without anion corrections: -1069 meV per atom
DFT total energy: -4.192 eV per atom

---

# 6
Material: InBrO
Method: DFT, PBE-GGA
State: optimized geometry

Cell lengths 3.4973, 8.8469, 5.3628 Å; angles 90.00, 90.00, 90.00 degrees
Last column: nearest neighbours and their distance in Å.
Space group Pmn2_1 (No. 31)
Asymmetric unit:
In: 0.0000 0.1106 0.0000 [2 per cell]  3 O 2.10-2.13
Br: 0.0000 0.6737 0.3487 [2 per cell]  2 In 2.71
O: 0.0000 0.9649 0.6898 [2 per cell]  3 In 2.10-2.13

Calculated values
formation energy without anion corrections: -1139 meV per atom
DFT total energy: -4.262 eV per atom

---

# 7
Material: InP2BrO
Method: DFT, PBE-GGA
State: optimized geometry

Cell lengths 5.2418, 5.2418, 4.0183 Å; angles 90.00, 90.00, 90.00 degrees
Last column: nearest neighbours and their distance in Å.
Space group P4/mmm (No. 123)
Asymmetric unit:
In: 0.0000 0.0000 0.0000 [1 per cell]  2 O 2.01
P: 0.0000 0.5000 0.0000 [2 per cell]  2 In 2.62
Br: 0.5000 0.5000 0.5000 [1 per cell]  8 P 3.30
O: 0.0000 0.0000 0.5000 [1 per cell]  2 In 2.01

Calculated values
energy above the most stable polymorph in this dataset: 0.0000 eV per atom
formation energy without anion corrections: 693 meV per atom
DFT total energy: -3.344 eV per atom

---

# 8
Material: InP2BrO
Method: DFT, PBE-GGA
State: optimized geometry

Cell lengths 4.9357, 4.9357, 3.9914 Å; angles 90.00, 90.00, 90.00 degrees
Last column: nearest neighbours and their distance in Å.
Space group P4/mmm (No. 123)
Asymmetric unit:
In: 0.0000 0.0000 0.0000 [1 per cell]  8 P 3.17, 4 O 3.49
P: 0.0000 0.5000 0.5000 [2 per cell]  2 Br 2.47
Br: 0.5000 0.5000 0.5000 [1 per cell]  2 O 2.00
O: 0.5000 0.5000 0.0000 [1 per cell]  2 Br 2.00

Calculated values
energy above the most stable polymorph in this dataset: 0.2257 eV per atom
formation energy without anion corrections: 919 meV per atom
DFT total energy: -3.119 eV per atom

---

# 9
Material: InPBrO4
Method: DFT, PBE-GGA
State: optimized geometry

Cell lengths 11.1232, 5.9862, 6.2995 Å; angles 90.00, 101.87, 90.00 degrees
Last column: nearest neighbours and their distance in Å.
Space group C2/m (No. 12)
Asymmetric unit:
In: 0.1968 0.0000 0.3234 [4 per cell]  6 O 2.09-2.33
P: 0.1362 0.0000 0.7635 [4 per cell]  4 O 1.51-1.60
Br: 0.0321 0.5000 0.1846 [4 per cell]  1 Br 2.29
O: 0.0013 0.0000 0.2500 [4 per cell]  1 P 1.51
O: 0.1765 0.2031 0.6291 [8 per cell]  1 P 1.60
O: 0.2101 0.0000 0.9965 [4 per cell]  1 P 1.53

Calculated values
formation energy without anion corrections: -1564 meV per atom
DFT total energy: -5.801 eV per atom

---

# 10
Material: In2PbBrO
Method: DFT, PBE-GGA
State: optimized geometry

Cell lengths 5.8602, 5.8602, 4.0643 Å; angles 90.00, 90.00, 90.00 degrees
Last column: nearest neighbours and their distance in Å.
Space group P4/mmm (No. 123)
Asymmetric unit:
In: 0.0000 0.5000 0.0000 [2 per cell]  2 Br 2.93
Pb: 0.0000 0.0000 0.5000 [1 per cell]  8 In 3.57
Br: 0.5000 0.5000 0.0000 [1 per cell]  2 O 2.03
O: 0.5000 0.5000 0.5000 [1 per cell]  2 Br 2.03

Calculated values
formation energy without anion corrections: 205 meV per atom
DFT total energy: -2.958 eV per atom

---

# 11
Material: InPbBr2O
Method: DFT, PBE-GGA
State: optimized geometry

Cell lengths 6.2034, 6.2034, 3.8129 Å; angles 90.00, 90.00, 90.00 degrees
Last column: nearest neighbours and their distance in Å.
Space group P4/mmm (No. 123)
Asymmetric unit:
In: 0.0000 0.0000 0.0000 [1 per cell]  2 O 1.91
Pb: 0.5000 0.5000 0.0000 [1 per cell]  8 Br 3.64, 2 Pb 3.81
Br: 0.0000 0.5000 0.5000 [2 per cell]  2 O 3.10
O: 0.0000 0.0000 0.5000 [1 per cell]  2 In 1.91

Calculated values
formation energy without anion corrections: -315 meV per atom
DFT total energy: -3.265 eV per atom

---

# 12
Material: Rb2InBr6O
Method: DFT, PBE-GGA
State: optimized geometry

Cell lengths 7.3033, 7.3033, 11.9006 Å; angles 90.00, 90.00, 90.00 degrees
Last column: nearest neighbours and their distance in Å.
Space group I4/mmm (No. 139)
Asymmetric unit:
Rb: 0.0000 0.5000 0.2500 [4 per cell]  12 Br 3.66-3.94
In: 0.0000 0.0000 0.0000 [2 per cell]  6 Br 2.67-2.76
Br: 0.0000 0.0000 0.2240 [4 per cell]  1 In 2.67
Br: 0.2328 0.2328 0.5000 [8 per cell]  1 O 2.40
O: 0.0000 0.0000 0.5000 [2 per cell]  4 Br 2.40

Calculated values
formation energy without anion corrections: -764 meV per atom
DFT total energy: -2.731 eV per atom

---

# 13
Material: InReBr2O
Method: DFT, PBE-GGA
State: optimized geometry

Cell lengths 5.7283, 5.7283, 3.9306 Å; angles 90.00, 90.00, 90.00 degrees
Last column: nearest neighbours and their distance in Å.
Space group P4/mmm (No. 123)
Asymmetric unit:
In: 0.0000 0.0000 0.0000 [1 per cell]  2 O 1.97
Re: 0.5000 0.5000 0.5000 [1 per cell]  8 Br 3.47
Br: 0.0000 0.5000 0.0000 [2 per cell]  2 In 2.86
O: 0.0000 0.0000 0.5000 [1 per cell]  2 In 1.97

Calculated values
formation energy without anion corrections: 627 meV per atom
DFT total energy: -4.071 eV per atom